Below is a relaxed structure of RbScVF6, with properties calculated at the PBE with a Hubbard U level. Values from VASP.

Cell and atoms, written as Quantum ESPRESSO input:
```
&SYSTEM
  ibrav = 0, nat = 18, ntyp = 4
/
ATOMIC_SPECIES
F 19.00 F.upf
Rb 85.47 Rb.upf
V 50.94 V.upf
Sc 44.96 Sc.upf
ATOMIC_POSITIONS crystal
F 0.8163 0.6724 0.2461
F 0.5609 0.3109 0.1218
F 0.8163 0.0737 0.2461
F 0.4391 0.6891 0.8782
F 0.4298 0.6724 0.2461
F 0.1673 0.9173 0.3345
F 0.1837 0.3276 0.7539
F 0.8327 0.0827 0.6655
F 0.4298 0.0737 0.2461
F 0.5702 0.9263 0.7539
F 0.5702 0.3276 0.7539
F 0.1837 0.9263 0.7539
Rb 0.9038 0.6538 0.8077
Rb 0.0962 0.3462 0.1923
V 0.0000 0.0000 0.5000
V 0.5000 0.0000 0.5000
Sc 0.5000 0.5000 0.0000
Sc 0.5000 0.0000 0.0000
CELL_PARAMETERS angstrom
-5.6322 -2.3320 -4.4697
5.1865 -2.9242 -5.0098
0.0949 -2.1139 7.3751
```

## Properties
D(E_F)	0.000	states/eV per cell
electronic total energy	-6.1834	eV/atom